Density functional theory data (PBE) for an optimized crystal structure of TbSiOs2C.

The structure in extended XYZ format:
```
10
Lattice="1.9429 -5.5636 0.0000 1.9429 5.5636 0.0000 0.0000 0.0000 7.1419" Properties=species:S:1:pos:R:3 pbc="T T T"
Tb 1.9429 5.0324 5.3564
Tb 1.9429 -5.0324 1.7855
Si 1.9429 2.9974 1.7855
Si 1.9429 -2.9974 5.3564
Os 1.9429 1.8387 3.9894
Os 1.9429 1.8387 6.7235
Os 1.9429 -1.8387 0.4185
Os 1.9429 -1.8387 3.1525
C 1.9429 0.0000 0.0000
C 1.9429 0.0000 3.5710
```

Computed properties:
- N(E_F): 1.9 states/eV/f.u.
- E_tot: -8.865 eV/atom
- Formation energy from raw total energies: -518 meV per atom
- Space group: No. 63